Record 1
# Ba3SeI (PBE, relaxed)
data_Ba3SeI
_symmetry_space_group_name_H-M 'P m -3 m'
_symmetry_Int_Tables_number 221
_symmetry_space_group_name_Hall '-P 4 2 3'
_cell_length_a 6.3347
_cell_length_b 6.3347
_cell_length_c 6.3347
_cell_angle_alpha 90.00
_cell_angle_beta 90.00
_cell_angle_gamma 90.00
loop_
_atom_site_label
_atom_site_type_symbol
_atom_site_fract_x
_atom_site_fract_y
_atom_site_fract_z
Ba1 Ba 0.0000 0.0000 0.5000
Se1 Se 0.0000 0.0000 0.0000
I1 I 0.5000 0.5000 0.5000
# Energy relative to the elements, uncorrected ... -0.9548 eV/atom
# Distance to the lowest polymorph of the same formula ... 0 meV/atom
# ρ ... 4.036 Mg/m³

=====

Record 2
# TmSc5Ir6 (PBE, relaxed)
data_TmSc5Ir6
_symmetry_space_group_name_H-M 'C m m m'
_symmetry_Int_Tables_number 65
_symmetry_space_group_name_Hall '-C 2 2'
_cell_length_a 4.6104
_cell_length_b 13.8245
_cell_length_c 6.4976
_cell_angle_alpha 90.00
_cell_angle_beta 90.00
_cell_angle_gamma 90.00
loop_
_atom_site_label
_atom_site_type_symbol
_atom_site_fract_x
_atom_site_fract_y
_atom_site_fract_z
Tm1 Tm 0.0000 0.0000 0.0000
Sc1 Sc 0.0000 0.0000 0.5000
Sc2 Sc 0.0000 0.3322 0.0000
Sc3 Sc 0.0000 0.3332 0.5000
Ir1 Ir 0.0000 0.1691 0.2532
Ir2 Ir 0.0000 0.5000 0.2572
# ΔE_f ... -0.991 eV/atom
# ρ ... 12.406 Mg/m³

=====

| no. | density of states at the Fermi level (states/eV/f.u.) | E_tot (eV/atom) |
| --- | --- | --- |
| 1 | 7.83 | -3.1153 |
| 2 | 3.24 | -8.4319 |